The following is a PBE-GGA calculation of a relaxed structure of LaTb2Pm2Ho2, from the Alexandria database.

Structure (POSCAR):
```
LaTb2Pm2Ho2
1.0
5.8332 -1.7569 0.0000
5.8332 1.7569 0.0000
-2.3836 0.0000 11.6171
La Tb Pm Ho
1 2 2 2
direct
0.0000 0.0000 0.0000
0.4075 0.4075 0.7271
0.5925 0.5925 0.2729
0.3445 0.3445 0.4261
0.6555 0.6555 0.5739
0.2956 0.2956 0.1296
0.7044 0.7044 0.8704
```

## Properties
Formation energy: 0.14 eV/atom
Crystal system: monoclinic

***

The following is a PBE-GGA calculation of a relaxed structure of LaNiAs2, from the Alexandria database.

Structure (POSCAR):
```
LaNiAs2
1.0
3.3960 0.0000 0.0000
0.0000 3.3960 0.0000
0.0000 0.0000 6.7152
La Ni As
1 1 2
direct
0.0000 0.0000 0.0000
0.0000 0.0000 0.5000
0.5000 0.5000 0.3145
0.5000 0.5000 0.6855
```

## Properties
Formation energy: -0.32 eV/atom
Crystal system: tetragonal

***

The following is a PBE-GGA calculation of a relaxed structure of BaGaO2F, from the Alexandria database.

Structure (POSCAR):
```
BaGaO2F
1.0
3.0674 -4.9266 0.0000
3.0674 4.9266 0.0000
0.0000 0.0000 5.5611
Ba Ga O F
2 2 4 2
direct
0.1553 0.8447 0.7500
0.8447 0.1553 0.2500
0.4734 0.5266 0.2500
0.5266 0.4734 0.7500
0.2853 0.2853 0.0000
0.2853 0.2853 0.5000
0.7147 0.7147 0.0000
0.7147 0.7147 0.5000
0.2710 0.7290 0.2500
0.7290 0.2710 0.7500
```

## Properties
E_form (uncorrected): -2.51 eV per atom
Crystal system: orthorhombic

***

The following is a PBE-GGA calculation of a relaxed structure of LiCa2GaO, from the Alexandria database.

Structure (POSCAR):
```
LiCa2GaO
1.0
4.8657 0.0000 0.0000
0.0000 4.8657 0.0000
0.0000 0.0000 4.0939
Li Ca Ga O
1 2 1 1
direct
0.0000 0.0000 0.0000
0.0000 0.5000 0.5000
0.5000 0.0000 0.5000
0.5000 0.5000 0.0000
0.0000 0.0000 0.5000
```

## Properties
E_form (uncorrected): -1.26 eV per atom
Crystal system: tetragonal

***

The following is a PBE-GGA calculation of a relaxed structure of KCaZnF6, from the Alexandria database.

Structure (POSCAR):
```
KCaZnF6
1.0
-3.7051 3.8036 4.9276
3.7051 -3.8036 4.9276
3.7051 3.8036 -4.9276
K Ca Zn F
2 2 2 12
direct
0.3975 0.1475 0.2500
0.6025 0.8525 0.7500
0.0000 0.0000 0.5000
0.0000 0.5000 0.0000
0.0000 0.5000 0.5000
0.5000 0.5000 0.0000
0.1249 0.8749 0.2500
0.1702 0.4202 0.7500
0.1709 0.4509 0.3506
0.1709 0.8203 0.7200
0.3997 0.1797 0.8506
0.3997 0.5491 0.2200
0.6003 0.4509 0.7800
0.6003 0.8203 0.1494
0.8291 0.1797 0.2800
0.8291 0.5491 0.6494
0.8298 0.5798 0.2500
0.8751 0.1251 0.7500
```

## Properties
E_form (uncorrected): -2.72 eV per atom
Crystal system: orthorhombic

***

The following is a PBE-GGA calculation of a relaxed structure of CeSmAlCd, from the Alexandria database.

Structure (POSCAR):
```
CeSmAlCd
1.0
0.0000 3.7553 3.7553
3.7553 0.0000 3.7553
3.7553 3.7553 0.0000
Ce Sm Al Cd
1 1 1 1
direct
0.0000 0.0000 0.0000
0.5000 0.5000 0.5000
0.7500 0.7500 0.7500
0.2500 0.2500 0.2500
```

## Properties
Formation energy: -0.25 eV/atom
Crystal system: cubic

***

no.,raw total energy (Ry per atom),volume (Å³/atom)
1,-0.334,34.0
2,-0.391,19.4
3,-0.431,16.8
4,-0.297,19.4
5,-0.327,15.4
6,-0.300,26.5